Li2NpMn2O6 after structural relaxation, computed with PBE with a Hubbard U.

## Properties
**Total energy**: -7.80 eV/atom
**Crystal system**: monoclinic

a = 6.0558 Å, b = 8.9098 Å, c = 5.7380 Å
α = 90.00°, β = 118.54°, γ = 90.00°
With the nearest neighbours (Å) after each atom.
Space group C2/m (No. 12)
Inequivalent atoms, fractional coordinates:
Li1 0.0000 0.1538 0.0000 (multiplicity 4)  4 O 2.05-2.07
Np1 0.0000 0.5000 0.0000 (multiplicity 2)  6 O 2.08-2.11
Mn1 0.0000 0.3182 0.5000 (multiplicity 4)  6 O 2.11-2.28
O1 0.2019 0.3262 0.2559 (multiplicity 8)  1 Li 2.07, 1 Np 2.08, 2 Mn 2.11-2.26
O2 0.2183 0.5000 0.8035 (multiplicity 4)  2 Li 2.05, 1 Np 2.11, 2 Mn 2.28